Record 1
VASP calculation (PBEsol) on a relaxed structure of Rb3DyO3.

The structure in POSCAR format:
```
Rb3DyO3
1.0
-3.216 5.308 -3.552
-0.169 -4.603 -5.532
-5.236 -0.700 4.890
Rb Dy O
6 2 6
Direct
0.362 0.640 0.640 Rb
0.500 0.794 0.206 Rb
0.500 0.206 0.794 Rb
0.000 0.257 0.743 Rb
0.000 0.743 0.257 Rb
0.638 0.360 0.360 Rb
0.852 0.819 0.819 Dy
0.148 0.181 0.181 Dy
0.159 0.899 0.899 O
0.732 0.547 0.829 O
0.732 0.829 0.547 O
0.268 0.453 0.171 O
0.268 0.171 0.453 O
0.841 0.101 0.101 O
```

Summary:
ΔE_f (raw) = -1.92 eV/atom
magnetic moment = 0.2 μB/cell
energy above the lowest structure with this stoichiometry = 0.013 eV/atom
DOS at the Fermi energy = 0.00 states/eV/f.u.

=====

Record 2
VASP calculation (PBEsol) on a relaxed structure of Rb3DyO3.

The structure in POSCAR format:
```
Rb3DyO3
1.0
-3.010 6.622 0.409
-6.951 -3.084 -1.212
-0.792 -1.077 11.608
Rb Dy O
12 4 12
Direct
0.160 0.356 0.421 Rb
0.874 0.924 0.339 Rb
0.696 0.379 0.311 Rb
0.196 0.621 0.189 Rb
0.374 0.076 0.161 Rb
0.660 0.644 0.079 Rb
0.340 0.356 0.921 Rb
0.626 0.924 0.839 Rb
0.804 0.379 0.811 Rb
0.304 0.621 0.689 Rb
0.126 0.076 0.661 Rb
0.840 0.644 0.579 Rb
0.408 0.839 0.429 Dy
0.908 0.161 0.071 Dy
0.092 0.839 0.929 Dy
0.592 0.161 0.571 Dy
0.140 0.740 0.447 O
0.451 0.118 0.407 O
0.555 0.698 0.302 O
0.055 0.302 0.198 O
0.951 0.882 0.093 O
0.640 0.260 0.053 O
0.360 0.740 0.947 O
0.049 0.118 0.907 O
0.945 0.698 0.802 O
0.445 0.302 0.698 O
0.549 0.882 0.593 O
0.860 0.260 0.553 O
```

Summary:
ΔE_f (raw) = -1.94 eV/atom
magnetic moment = 0.3 μB/cell
energy above the lowest structure with this stoichiometry = 0.000 eV/atom
DOS at the Fermi energy = 0.00 states/eV/f.u.

=====

Record 3
VASP calculation (PBEsol) on a relaxed structure of RbDyS2O8.

The structure in POSCAR format:
```
RbDyS2O8
1.0
-0.723 4.819 2.049
-0.381 -3.729 8.638
12.989 1.440 1.195
Rb Dy S O
4 4 8 32
Direct
0.250 0.077 0.250 Rb
0.250 0.423 0.750 Rb
0.750 0.923 0.750 Rb
0.750 0.577 0.250 Rb
0.171 0.750 0.500 Dy
0.329 0.750 0.000 Dy
0.829 0.250 0.500 Dy
0.671 0.250 0.000 Dy
0.765 0.914 0.084 S
0.765 0.586 0.916 S
0.735 0.914 0.416 S
0.735 0.586 0.584 S
0.235 0.086 0.916 S
0.235 0.414 0.084 S
0.265 0.086 0.584 S
0.265 0.414 0.416 S
0.015 0.847 0.101 O
0.015 0.653 0.899 O
0.485 0.847 0.399 O
0.485 0.653 0.601 O
0.985 0.153 0.899 O
0.985 0.347 0.101 O
0.515 0.153 0.601 O
0.515 0.347 0.399 O
0.564 0.842 0.145 O
0.564 0.658 0.855 O
0.936 0.842 0.355 O
0.936 0.658 0.645 O
0.436 0.158 0.855 O
0.436 0.342 0.145 O
0.064 0.158 0.645 O
0.064 0.342 0.355 O
0.283 0.566 0.388 O
0.283 0.934 0.612 O
0.217 0.566 0.112 O
0.217 0.934 0.888 O
0.717 0.434 0.612 O
0.717 0.066 0.388 O
0.783 0.434 0.888 O
0.783 0.066 0.112 O
0.187 0.398 0.525 O
0.187 0.102 0.475 O
0.313 0.398 0.975 O
0.313 0.102 0.025 O
0.813 0.602 0.475 O
0.813 0.898 0.525 O
0.687 0.602 0.025 O
0.687 0.898 0.975 O
```

Summary:
ΔE_f (raw) = -2.15 eV/atom
magnetic moment = 0.0 μB/cell
DOS at the Fermi energy = 0.00 states/eV/f.u.

=====

Record 4
VASP calculation (PBEsol) on a relaxed structure of RbDyW2O8.

The structure in POSCAR format:
```
RbDyW2O8
1.0
-4.682 2.783 5.733
-1.381 -8.744 1.286
7.879 -0.278 6.569
Rb Dy W O
4 4 8 32
Direct
0.576 0.013 0.784 Rb
0.076 0.013 0.716 Rb
0.924 0.987 0.284 Rb
0.424 0.987 0.216 Rb
0.022 0.565 0.274 Dy
0.978 0.435 0.726 Dy
0.478 0.435 0.774 Dy
0.522 0.565 0.226 Dy
0.323 0.337 0.487 W
0.286 0.723 0.514 W
0.214 0.277 0.014 W
0.823 0.337 0.013 W
0.786 0.723 0.986 W
0.714 0.277 0.486 W
0.177 0.663 0.987 W
0.677 0.663 0.513 W
0.743 0.491 0.107 O
0.953 0.592 0.898 O
0.047 0.408 0.102 O
0.257 0.509 0.893 O
0.159 0.772 0.377 O
0.380 0.370 0.120 O
0.766 0.828 0.591 O
0.653 0.104 0.407 O
0.120 0.630 0.620 O
0.841 0.228 0.623 O
0.547 0.408 0.398 O
0.153 0.104 0.093 O
0.266 0.828 0.909 O
0.997 0.728 0.100 O
0.497 0.728 0.400 O
0.880 0.370 0.380 O
0.003 0.272 0.900 O
0.207 0.344 0.640 O
0.341 0.228 0.877 O
0.734 0.172 0.091 O
0.620 0.630 0.880 O
0.793 0.656 0.360 O
0.453 0.592 0.602 O
0.293 0.656 0.140 O
0.243 0.491 0.393 O
0.707 0.344 0.860 O
0.347 0.896 0.593 O
0.503 0.272 0.600 O
0.757 0.509 0.607 O
0.847 0.896 0.907 O
0.659 0.772 0.123 O
0.234 0.172 0.409 O
```

Summary:
ΔE_f (raw) = -2.54 eV/atom
magnetic moment = 0.0 μB/cell
DOS at the Fermi energy = 0.00 states/eV/f.u.

=====

Record 5
VASP calculation (PBEsol) on a relaxed structure of Dy3ReO7.

The structure in POSCAR format:
```
Dy3ReO7
1.0
-2.099 -1.057 -5.912
5.105 -3.630 1.109
-4.368 -5.374 2.511
Dy Re O
6 2 14
Direct
0.000 0.465 0.750 Dy
0.500 0.500 0.000 Dy
0.000 0.535 0.250 Dy
0.465 0.000 0.250 Dy
0.535 0.000 0.750 Dy
0.500 0.500 0.500 Dy
0.000 0.000 0.000 Re
0.000 0.000 0.500 Re
0.076 0.323 0.471 O
0.930 0.070 0.750 O
0.076 0.323 0.029 O
0.924 0.677 0.529 O
0.636 0.364 0.750 O
0.677 0.924 0.471 O
0.323 0.076 0.529 O
0.323 0.076 0.971 O
0.677 0.924 0.029 O
0.924 0.677 0.971 O
0.631 0.369 0.250 O
0.364 0.636 0.250 O
0.369 0.631 0.750 O
0.070 0.930 0.250 O
```

Summary:
ΔE_f (raw) = -2.96 eV/atom
magnetic moment = 4.0 μB/cell
DOS at the Fermi energy = 2.64 states/eV/f.u.

=====

Record 6
VASP calculation (PBEsol) on a relaxed structure of Dy2SO2.

The structure in POSCAR format:
```
Dy2SO2
1.0
-1.721 0.746 -3.246
-0.122 -3.461 1.435
-11.017 3.106 6.555
S O Dy
2 4 4
Direct
0.000 0.000 0.250 S
0.000 0.000 0.750 S
0.333 0.667 0.435 O
0.333 0.667 0.065 O
0.667 0.333 0.565 O
0.667 0.333 0.935 O
0.333 0.667 0.608 Dy
0.333 0.667 0.892 Dy
0.667 0.333 0.108 Dy
0.667 0.333 0.392 Dy
```

Summary:
ΔE_f (raw) = -3.27 eV/atom
magnetic moment = 0.0 μB/cell
DOS at the Fermi energy = 0.00 states/eV/f.u.

=====

Record 7
VASP calculation (PBEsol) on a relaxed structure of Dy2S2O.

The structure in POSCAR format:
```
Dy2S2O
1.0
3.761 0.000 0.000
0.000 6.663 0.000
0.000 0.000 15.342
Dy S O
8 8 4
Direct
0.250 0.243 0.835 Dy
0.750 0.757 0.165 Dy
0.750 0.743 0.665 Dy
0.250 0.257 0.335 Dy
0.250 0.793 0.959 Dy
0.750 0.207 0.041 Dy
0.750 0.293 0.541 Dy
0.250 0.707 0.459 Dy
0.250 0.048 0.180 S
0.250 0.988 0.601 S
0.750 0.488 0.899 S
0.250 0.512 0.101 S
0.750 0.952 0.820 S
0.750 0.548 0.320 S
0.250 0.452 0.680 S
0.750 0.012 0.399 S
0.750 0.868 0.031 O
0.750 0.632 0.531 O
0.250 0.368 0.469 O
0.250 0.132 0.969 O
```

Summary:
ΔE_f (raw) = -2.69 eV/atom
magnetic moment = 0.0 μB/cell
energy above the lowest structure with this stoichiometry = 0.011 eV/atom
DOS at the Fermi energy = 0.00 states/eV/f.u.

=====

Record 8
VASP calculation (PBEsol) on a relaxed structure of Dy2SO2.

The structure in POSCAR format:
```
Dy2SO2
1.0
3.759 0.000 0.000
-1.880 3.256 0.000
0.000 0.000 6.523
S O Dy
1 2 2
Direct
0.000 0.000 0.000 S
0.333 0.667 0.630 O
0.667 0.333 0.370 O
0.333 0.667 0.282 Dy
0.667 0.333 0.718 Dy
```

Summary:
ΔE_f (raw) = -3.28 eV/atom
magnetic moment = 0.0 μB/cell
DOS at the Fermi energy = 0.00 states/eV/f.u.

=====

Record 9
VASP calculation (PBEsol) on a relaxed structure of Dy2S2O.

The structure in POSCAR format:
```
Dy2S2O
1.0
-6.648 1.324 -0.072
-1.323 -6.674 -0.625
1.106 -0.970 8.018
Dy S O
8 8 4
Direct
0.250 0.054 0.137 Dy
0.250 0.554 0.863 Dy
0.750 0.946 0.863 Dy
0.750 0.446 0.137 Dy
0.320 0.143 0.576 Dy
0.180 0.643 0.424 Dy
0.680 0.857 0.424 Dy
0.820 0.357 0.576 Dy
0.030 0.722 0.077 S
0.574 0.634 0.681 S
0.426 0.366 0.319 S
0.074 0.866 0.681 S
0.470 0.222 0.923 S
0.970 0.278 0.923 S
0.530 0.778 0.077 S
0.926 0.134 0.319 S
0.650 0.087 0.617 O
0.150 0.413 0.617 O
0.350 0.913 0.383 O
0.850 0.587 0.383 O
```

Summary:
ΔE_f (raw) = -2.70 eV/atom
magnetic moment = 0.0 μB/cell
energy above the lowest structure with this stoichiometry = 0.000 eV/atom
DOS at the Fermi energy = 0.00 states/eV/f.u.

=====

Record 10
VASP calculation (PBEsol) on a relaxed structure of Dy2ZnTe2S2O14.

The structure in POSCAR format:
```
Dy2ZnTe2S2O14
1.0
-5.135 0.890 0.145
-1.581 -3.893 -6.528
-3.527 -7.150 0.812
Dy Zn Te S O
2 1 2 2 14
Direct
0.932 0.747 0.984 Dy
0.068 0.253 0.016 Dy
0.000 0.000 0.500 Zn
0.494 0.729 0.655 Te
0.506 0.271 0.345 Te
0.255 0.751 0.253 S
0.745 0.249 0.747 S
0.139 0.584 0.252 O
0.861 0.416 0.748 O
0.141 0.761 0.439 O
0.859 0.239 0.561 O
0.548 0.738 0.218 O
0.452 0.262 0.782 O
0.178 0.923 0.091 O
0.822 0.077 0.909 O
0.249 0.558 0.890 O
0.751 0.442 0.110 O
0.726 0.806 0.756 O
0.274 0.194 0.244 O
0.256 0.931 0.665 O
0.744 0.069 0.335 O
```

Summary:
ΔE_f (raw) = -1.95 eV/atom
magnetic moment = 0.0 μB/cell
DOS at the Fermi energy = 0.00 states/eV/f.u.

=====

Record 11
VASP calculation (PBEsol) on a relaxed structure of Dy9Sb5O5.

The structure in POSCAR format:
```
Dy9Sb5O5
1.0
-5.331 6.839 1.120
-2.833 -3.614 8.587
7.179 4.873 4.419
Dy Sb O
18 10 10
Direct
0.671 0.500 0.000 Dy
0.342 0.795 0.104 Dy
0.002 0.275 0.083 Dy
0.002 0.583 0.225 Dy
0.342 0.205 0.896 Dy
0.342 0.604 0.705 Dy
0.658 0.295 0.604 Dy
0.002 0.417 0.775 Dy
0.998 0.225 0.417 Dy
0.658 0.896 0.795 Dy
0.329 0.000 0.500 Dy
0.998 0.083 0.725 Dy
0.998 0.917 0.275 Dy
0.998 0.775 0.583 Dy
0.002 0.725 0.917 Dy
0.342 0.396 0.295 Dy
0.658 0.705 0.396 Dy
0.658 0.104 0.205 Dy
0.699 0.596 0.696 Sb
0.301 0.904 0.804 Sb
0.301 0.696 0.404 Sb
0.683 0.000 0.500 Sb
0.301 0.304 0.596 Sb
0.699 0.804 0.096 Sb
0.699 0.404 0.304 Sb
0.699 0.196 0.904 Sb
0.301 0.096 0.196 Sb
0.317 0.500 0.000 Sb
0.087 0.225 0.880 O
0.913 0.275 0.620 O
0.913 0.120 0.225 O
0.913 0.880 0.775 O
0.913 0.725 0.380 O
0.936 0.500 0.000 O
0.087 0.775 0.120 O
0.064 0.000 0.500 O
0.087 0.380 0.275 O
0.087 0.620 0.725 O
```

Summary:
ΔE_f (raw) = -2.24 eV/atom
magnetic moment = 0.0 μB/cell
DOS at the Fermi energy = 4.21 states/eV/f.u.

=====

Record 12
VASP calculation (PBEsol) on a relaxed structure of Dy2SbO2.

The structure in POSCAR format:
```
Dy2SbO2
1.0
3.799 0.000 0.000
0.000 3.799 0.000
-1.900 -1.900 6.565
Sb O Dy
1 2 2
Direct
0.000 0.000 0.000 Sb
0.250 0.750 0.500 O
0.750 0.250 0.500 O
0.665 0.665 0.330 Dy
0.335 0.335 0.670 Dy
```

Summary:
ΔE_f (raw) = -2.79 eV/atom
magnetic moment = 0.0 μB/cell
DOS at the Fermi energy = 0.68 states/eV/f.u.

=====

Calculated values (eV/cell) of energy for the records, taken in order: -74.547, -149.460, -330.227, -424.279, -195.172, -82.369, -149.668, -41.242, -149.885, -141.796, -272.893, -38.942.